Computed, not measured: crystalline CrAsP at its relaxed geometry at the GGA-PBE level of DFT.

- M_tot (μB per formula unit) = 2.261
- symmetry = No. 216
- total DFT energy (no corrections) (eV for the cell shown) = -19.471

Structure (POSCAR):
```
CrAsP
1.0
0.0000 2.9135 2.9135
2.9135 0.0000 2.9135
2.9135 2.9135 0.0000
Cr As P
1 1 1
direct
0.0000 0.0000 0.0000 Cr
0.7500 0.7500 0.7500 As
0.2500 0.2500 0.2500 P
```